# CoTe2NO (GGA+U, optimized geometry)
data_CoTe2NO
_cell_length_a 4.679
_cell_length_b 4.679
_cell_length_c 3.980
_cell_angle_alpha 90.00
_cell_angle_beta 90.00
_cell_angle_gamma 90.00
_symmetry_space_group_name_H-M 'P 4/m m m'
_symmetry_Int_Tables_number 123
_symmetry_space_group_name_Hall '-P 4 2'
loop_
_atom_site_label
_atom_site_fract_x
_atom_site_fract_y
_atom_site_fract_z
Co1 0.000 0.000 0.000
Te1 0.000 0.500 0.500
N1 0.500 0.500 0.000
O1 0.500 0.500 0.500
# Calculated total energy in eV for the cell shown: -18.38